#one
VASP calculation (PBE) on a relaxed GaNi3Hg crystal.

Output
For the calculated volume, the calculation gives 82.9 Å³/f.u. The density of states at the Fermi level comes out at 1.041 states/eV per atom. The value obtained for the total magnetic moment is 0.0 Bohr magnetons per cell. As for the space group: Pm-3m (221).

Cell lengths 4.361, 4.361, 4.361 Å; angles 90.00, 90.00, 90.00 degrees
Positions (direct):
Ni 0.000 0.500 0.000
Ni 0.000 0.000 0.500
Ni 0.500 0.000 0.000
Hg 0.500 0.500 0.500
Ga 0.000 0.000 0.000

***

#two
VASP calculation (PBE) on a relaxed GaNi3Hg crystal.

Output
For the calculated volume, the calculation gives 106.5 Å³/f.u. The density of states at the Fermi level comes out at 1.028 states/eV per atom. The value obtained for the total magnetic moment is 1.3 Bohr magnetons per cell. As for the space group: Pm-3m (221).

Cell lengths 4.740, 4.740, 4.740 Å; angles 90.00, 90.00, 90.00 degrees
Positions (direct):
Ni 0.000 0.500 0.000
Ni 0.000 0.000 0.500
Ni 0.500 0.000 0.000
Hg 0.000 0.000 0.000
Ga 0.500 0.500 0.500

***

Stability check: which of them is most stable? #one.

***

#one
VASP calculation (PBE) on a relaxed TlGa2NiHg crystal.

Output
For the calculated volume, the calculation gives 113.7 Å³/f.u. The density of states at the Fermi level comes out at 0.542 states/eV per atom. The value obtained for the total magnetic moment is 0.0 Bohr magnetons per cell. As for the space group: P4/mmm (123).

Cell lengths 4.673, 4.673, 5.206 Å; angles 90.00, 90.00, 90.00 degrees
Positions (direct):
Ni 0.000 0.000 0.000
Tl 0.000 0.000 0.500
Hg 0.500 0.500 0.500
Ga 0.000 0.500 0.000
Ga 0.500 0.000 0.000

***

#two
VASP calculation (PBE) on a relaxed TlGa2NiHg crystal.

Output
For the calculated volume, the calculation gives 111.7 Å³/f.u. The density of states at the Fermi level comes out at 0.521 states/eV per atom. The value obtained for the total magnetic moment is 0.0 Bohr magnetons per cell. As for the space group: P4/mmm (123).

Cell lengths 4.660, 4.660, 5.143 Å; angles 90.00, 90.00, 90.00 degrees
Positions (direct):
Ni 0.000 0.000 0.000
Tl 0.500 0.500 0.500
Hg 0.000 0.000 0.500
Ga 0.000 0.500 0.000
Ga 0.500 0.000 0.000

***

Stability check: which of them is most stable? #two.

***

#one
VASP calculation (PBE) on a relaxed ZnGa2NiHg crystal.

Output
For the calculated volume, the calculation gives 113.6 Å³/f.u. The density of states at the Fermi level comes out at 0.637 states/eV per atom. The value obtained for the total magnetic moment is 0.2 Bohr magnetons per cell. As for the space group: P4/mmm (123).

Cell lengths 4.717, 5.104, 4.717 Å; angles 90.00, 90.00, 90.00 degrees
Positions (direct):
Ni 0.500 0.500 0.500
Zn 0.000 0.000 0.000
Hg 0.000 0.500 0.000
Ga 0.000 0.000 0.500
Ga 0.500 0.000 0.000

***

#two
VASP calculation (PBE) on a relaxed ZnGa2NiHg crystal.

Output
For the calculated volume, the calculation gives 100.6 Å³/f.u. The density of states at the Fermi level comes out at 0.304 states/eV per atom. The value obtained for the total magnetic moment is 0.0 Bohr magnetons per cell. As for the space group: P4/mmm (123).

Cell lengths 4.601, 4.601, 4.754 Å; angles 90.00, 90.00, 90.00 degrees
Positions (direct):
Ni 0.000 0.000 0.000
Zn 0.000 0.000 0.500
Hg 0.500 0.500 0.500
Ga 0.000 0.500 0.000
Ga 0.500 0.000 0.000

***

Stability check: which of them is most stable? #two.

***

#one
VASP calculation (PBE) on a relaxed GaHgO2 crystal.

Output
For the calculated volume, the calculation gives 66.2 Å³/f.u. The density of states at the Fermi level comes out at 0.464 states/eV per atom. The value obtained for the total magnetic moment is 0.0 Bohr magnetons per cell. As for the space group: R-3m (166).

Cell lengths 6.424, 6.424, 6.424 Å; angles 32.01, 32.01, 32.01 degrees
Positions (direct):
O 0.902 0.902 0.902
O 0.098 0.098 0.098
Hg 0.500 0.500 0.500
Ga 0.000 0.000 0.000

***

#two
VASP calculation (PBE) on a relaxed GaHgO2 crystal.

Output
For the calculated volume, the calculation gives 61.7 Å³/f.u. The density of states at the Fermi level comes out at 0.144 states/eV per atom. The value obtained for the total magnetic moment is 0.0 Bohr magnetons per cell. As for the space group: I-42d (122).

Cell lengths 5.313, 5.313, 5.766 Å; angles 62.57, 62.57, 90.00 degrees
Positions (direct):
O 0.519 0.125 0.250
O 0.231 0.625 0.250
O 0.375 0.481 0.750
O 0.875 0.769 0.750
Hg 0.000 0.000 0.000
Hg 0.750 0.250 0.500
Ga 0.500 0.500 0.000
Ga 0.250 0.750 0.500

***

#three
VASP calculation (PBE) on a relaxed GaHgO2 crystal.

Output
For the calculated volume, the calculation gives 51.0 Å³/f.u. The density of states at the Fermi level comes out at 0.379 states/eV per atom. The value obtained for the total magnetic moment is 0.0 Bohr magnetons per cell. As for the space group: Fm-3m (225).

Cell lengths 4.163, 4.163, 4.163 Å; angles 60.00, 60.00, 60.00 degrees
Positions (direct):
O 0.250 0.250 0.250
O 0.750 0.750 0.750
Hg 0.500 0.500 0.500
Ga 0.000 0.000 0.000

***

Stability check: which of them is most stable? #two.

***

#one
VASP calculation (PBE) on a relaxed GaHgOs2 crystal.

Output
For the calculated volume, the calculation gives 63.3 Å³/f.u. The density of states at the Fermi level comes out at 1.122 states/eV per atom. The value obtained for the total magnetic moment is 0.0 Bohr magnetons per cell. As for the space group: Fm-3m (225).

Cell lengths 4.475, 4.475, 4.475 Å; angles 60.00, 60.00, 60.00 degrees
Positions (direct):
Os 0.250 0.250 0.250
Os 0.750 0.750 0.750
Hg 0.500 0.500 0.500
Ga 0.000 0.000 0.000

***

#two
VASP calculation (PBE) on a relaxed GaHgOs2 crystal.

Output
For the calculated volume, the calculation gives 76.2 Å³/f.u. The density of states at the Fermi level comes out at 0.400 states/eV per atom. The value obtained for the total magnetic moment is 0.0 Bohr magnetons per cell. As for the space group: I-42d (122).

Cell lengths 4.042, 4.042, 9.763 Å; angles 78.05, 78.05, 90.00 degrees
Positions (direct):
Os 0.530 0.125 0.250
Os 0.220 0.625 0.250
Os 0.375 0.470 0.750
Os 0.875 0.780 0.750
Hg 0.000 0.000 0.000
Hg 0.750 0.250 0.500
Ga 0.500 0.500 0.000
Ga 0.250 0.750 0.500

***

Stability check: which of them is most stable? #two.

***

#one
VASP calculation (PBE) on a relaxed GaHg2P crystal.

Output
For the calculated volume, the calculation gives 108.7 Å³/f.u. The density of states at the Fermi level comes out at 0.238 states/eV per atom. The value obtained for the total magnetic moment is 0.0 Bohr magnetons per cell. As for the space group: I-42d (122).

Cell lengths 6.609, 6.609, 6.826 Å; angles 61.04, 61.04, 90.00 degrees
Positions (direct):
P 0.500 0.500 0.000
P 0.250 0.750 0.500
Hg 0.597 0.125 0.250
Hg 0.153 0.625 0.250
Hg 0.375 0.403 0.750
Hg 0.875 0.847 0.750
Ga 0.000 0.000 0.000
Ga 0.750 0.250 0.500

***

#two
VASP calculation (PBE) on a relaxed GaHg2P crystal.

Output
For the calculated volume, the calculation gives 86.4 Å³/f.u. The density of states at the Fermi level comes out at 0.412 states/eV per atom. The value obtained for the total magnetic moment is 0.0 Bohr magnetons per cell. As for the space group: Fm-3m (225).

Cell lengths 4.962, 4.962, 4.962 Å; angles 60.00, 60.00, 60.00 degrees
Positions (direct):
P 0.000 0.000 0.000
Hg 0.250 0.250 0.250
Hg 0.750 0.750 0.750
Ga 0.500 0.500 0.500

***

Stability check: which of them is most stable? #one.

***

#one
VASP calculation (PBE) on a relaxed GaHg3Pb crystal.

Output
For the calculated volume, the calculation gives 201.5 Å³/f.u. The density of states at the Fermi level comes out at 0.662 states/eV per atom. The value obtained for the total magnetic moment is 0.0 Bohr magnetons per cell. As for the space group: Pm-3m (221).

Cell lengths 5.863, 5.863, 5.863 Å; angles 90.00, 90.00, 90.00 degrees
Positions (direct):
Pb 0.000 0.000 0.000
Hg 0.000 0.500 0.000
Hg 0.000 0.000 0.500
Hg 0.500 0.000 0.000
Ga 0.500 0.500 0.500

***

#two
VASP calculation (PBE) on a relaxed GaHg3Pb crystal.

Output
For the calculated volume, the calculation gives 133.8 Å³/f.u. The density of states at the Fermi level comes out at 0.244 states/eV per atom. The value obtained for the total magnetic moment is 0.0 Bohr magnetons per cell. As for the space group: C2/m (12).

Cell lengths 6.861, 9.092, 9.752 Å; angles 117.78, 95.24, 90.00 degrees
Positions (direct):
Ga 0.406 0.812 0.125
Ga 0.094 0.688 0.875
Ga 0.594 0.188 0.875
Ga 0.906 0.312 0.125
Hg 0.365 0.894 0.634
Hg 0.135 0.260 0.366
Hg 0.635 0.106 0.366
Hg 0.865 0.740 0.634
Hg 0.050 0.890 0.280
Hg 0.450 0.610 0.720
Hg 0.950 0.110 0.720
Hg 0.550 0.390 0.280
Hg 0.635 0.760 0.366
Hg 0.865 0.394 0.634
Hg 0.365 0.240 0.634
Hg 0.135 0.606 0.366
Pb 0.750 0.940 0.000
Pb 0.250 0.060 0.000
Pb 0.750 0.560 0.000
Pb 0.250 0.440 0.000

***

Stability check: which of them is most stable? #two.

***

#one
VASP calculation (PBE) on a relaxed GaHg3Pb crystal.

Output
For the calculated volume, the calculation gives 132.4 Å³/f.u. The density of states at the Fermi level comes out at 0.384 states/eV per atom. The value obtained for the total magnetic moment is 0.0 Bohr magnetons per cell. As for the space group: Pbcm (57).

Cell lengths 6.039, 6.754, 12.988 Å; angles 90.00, 90.00, 90.00 degrees
Positions (direct):
Ga 0.500 0.250 0.108
Ga 0.000 0.750 0.892
Ga 0.500 0.750 0.892
Ga 0.000 0.250 0.108
Hg 0.000 0.250 0.467
Hg 0.500 0.750 0.533
Hg 0.000 0.750 0.533
Hg 0.500 0.250 0.467
Hg 0.250 0.133 0.923
Hg 0.750 0.867 0.077
Hg 0.250 0.633 0.077
Hg 0.750 0.367 0.923
Hg 0.250 0.538 0.740
Hg 0.750 0.462 0.260
Hg 0.250 0.038 0.260
Hg 0.750 0.962 0.740
Pb 0.750 0.412 0.679
Pb 0.250 0.588 0.321
Pb 0.750 0.912 0.321
Pb 0.250 0.088 0.679

***

#two
VASP calculation (PBE) on a relaxed GaHg3Pb crystal.

Output
For the calculated volume, the calculation gives 146.4 Å³/f.u. The density of states at the Fermi level comes out at 0.338 states/eV per atom. The value obtained for the total magnetic moment is 0.0 Bohr magnetons per cell. As for the space group: Pm-3m (221).

Cell lengths 5.270, 5.270, 5.270 Å; angles 90.00, 90.00, 90.00 degrees
Positions (direct):
Pb 0.500 0.500 0.500
Hg 0.000 0.500 0.000
Hg 0.000 0.000 0.500
Hg 0.500 0.000 0.000
Ga 0.000 0.000 0.000

***

Stability check: which of them is most stable? #one.

***

#one
VASP calculation (PBE) on a relaxed Ga2Hg2Pb crystal.

Output
For the calculated volume, the calculation gives 123.0 Å³/f.u. The density of states at the Fermi level comes out at 0.353 states/eV per atom. The value obtained for the total magnetic moment is 0.0 Bohr magnetons per cell. As for the space group: P4/mbm (127).

Cell lengths 8.580, 8.580, 3.340 Å; angles 90.00, 90.00, 90.00 degrees
Positions (direct):
Pb 0.000 0.000 0.000
Pb 0.500 0.500 0.000
Hg 0.338 0.838 0.000
Hg 0.838 0.662 0.000
Hg 0.662 0.162 0.000
Hg 0.162 0.338 0.000
Ga 0.133 0.633 0.500
Ga 0.633 0.867 0.500
Ga 0.867 0.367 0.500
Ga 0.367 0.133 0.500

***

#two
VASP calculation (PBE) on a relaxed Ga2Hg2Pb crystal.

Output
For the calculated volume, the calculation gives 123.6 Å³/f.u. The density of states at the Fermi level comes out at 0.411 states/eV per atom. The value obtained for the total magnetic moment is 0.0 Bohr magnetons per cell. As for the space group: I4/mmm (139).

Cell lengths 4.200, 4.200, 7.611 Å; angles 73.98, 73.98, 90.00 degrees
Positions (direct):
Pb 0.000 0.000 0.000
Hg 0.392 0.392 0.216
Hg 0.608 0.608 0.784
Ga 0.750 0.250 0.500
Ga 0.250 0.750 0.500

***

Stability check: which of them is most stable? #one.

***

#one
VASP calculation (PBE) on a relaxed GaHgPb4 crystal.

Output
For the calculated volume, the calculation gives 171.6 Å³/f.u. The density of states at the Fermi level comes out at 0.465 states/eV per atom. The value obtained for the total magnetic moment is 0.0 Bohr magnetons per cell. As for the space group: P4/mmm (123).

Cell lengths 3.431, 3.431, 14.583 Å; angles 90.00, 90.00, 90.00 degrees
Positions (direct):
Ga 0.000 0.000 0.000
Hg 0.500 0.500 0.500
Pb 0.500 0.500 0.849
Pb 0.500 0.500 0.151
Pb 0.000 0.000 0.666
Pb 0.000 0.000 0.334

***

#two
VASP calculation (PBE) on a relaxed GaHgPb4 crystal.

Output
For the calculated volume, the calculation gives 188.9 Å³/f.u. The density of states at the Fermi level comes out at 0.567 states/eV per atom. The value obtained for the total magnetic moment is 0.0 Bohr magnetons per cell. As for the space group: C2/m (12).

Cell lengths 5.038, 5.081, 8.990 Å; angles 73.50, 73.73, 60.28 degrees
Positions (direct):
Ga 0.000 0.000 0.000
Hg 0.500 0.500 0.500
Pb 0.627 0.625 0.121
Pb 0.373 0.375 0.879
Pb 0.123 0.120 0.634
Pb 0.877 0.880 0.366

***

Stability check: which of them is most stable? #one.

***

#one
VASP calculation (PBE) on a relaxed GaHgPb3 crystal.

Output
For the calculated volume, the calculation gives 140.8 Å³/f.u. The density of states at the Fermi level comes out at 0.375 states/eV per atom. The value obtained for the total magnetic moment is 0.0 Bohr magnetons per cell. As for the space group: P2_1/c (14).

Cell lengths 6.090, 9.106, 10.283 Å; angles 90.00, 99.07, 90.00 degrees
Positions (direct):
Ga 0.366 0.286 0.780
Ga 0.634 0.714 0.220
Ga 0.634 0.786 0.720
Ga 0.366 0.214 0.280
Hg 0.861 0.782 0.498
Hg 0.139 0.218 0.502
Hg 0.139 0.282 0.002
Hg 0.861 0.718 0.998
Pb 0.185 0.960 0.742
Pb 0.815 0.040 0.258
Pb 0.815 0.460 0.758
Pb 0.185 0.540 0.242
Pb 0.280 0.554 0.585
Pb 0.720 0.446 0.415
Pb 0.720 0.054 0.915
Pb 0.280 0.946 0.085
Pb 0.325 0.881 0.413
Pb 0.675 0.119 0.587
Pb 0.675 0.381 0.087
Pb 0.325 0.619 0.913

***

#two
VASP calculation (PBE) on a relaxed GaHgPb3 crystal.

Output
For the calculated volume, the calculation gives 191.7 Å³/f.u. The density of states at the Fermi level comes out at 1.022 states/eV per atom. The value obtained for the total magnetic moment is 0.0 Bohr magnetons per cell. As for the space group: Pm-3m (221).

Cell lengths 5.766, 5.766, 5.766 Å; angles 90.00, 90.00, 90.00 degrees
Positions (direct):
Pb 0.000 0.500 0.000
Pb 0.000 0.000 0.500
Pb 0.500 0.000 0.000
Hg 0.000 0.000 0.000
Ga 0.500 0.500 0.500

***

Stability check: which of them is most stable? #one.

***

#one
VASP calculation (PBE) on a relaxed GaHgPb3 crystal.

Output
For the calculated volume, the calculation gives 149.0 Å³/f.u. The density of states at the Fermi level comes out at 0.202 states/eV per atom. The value obtained for the total magnetic moment is 0.0 Bohr magnetons per cell. As for the space group: Pmmn (59).

Cell lengths 4.576, 7.144, 9.115 Å; angles 90.00, 90.00, 90.00 degrees
Positions (direct):
Ga 0.750 0.750 0.430
Ga 0.250 0.250 0.570
Hg 0.750 0.250 0.142
Hg 0.250 0.750 0.858
Pb 0.750 0.750 0.095
Pb 0.250 0.250 0.905
Pb 0.750 0.002 0.688
Pb 0.750 0.498 0.688
Pb 0.250 0.998 0.312
Pb 0.250 0.502 0.312

***

#two
VASP calculation (PBE) on a relaxed GaHgPb3 crystal.

Output
For the calculated volume, the calculation gives 171.6 Å³/f.u. The density of states at the Fermi level comes out at 0.795 states/eV per atom. The value obtained for the total magnetic moment is 0.0 Bohr magnetons per cell. As for the space group: Pm-3m (221).

Cell lengths 5.557, 5.557, 5.557 Å; angles 90.00, 90.00, 90.00 degrees
Positions (direct):
Pb 0.000 0.500 0.000
Pb 0.000 0.000 0.500
Pb 0.500 0.000 0.000
Hg 0.500 0.500 0.500
Ga 0.000 0.000 0.000

***

Stability check: which of them is most stable? #one.